(1)
DFT (meta-GGA SCAN) results for a PBEsol-optimized structure of Na2CuCSO7.

Structure (POSCAR):
```
Na2CuCSO7
1.0
4.9970 0.0000 0.0000
0.0000 7.1832 0.0000
-0.2634 0.0000 8.5406
Na Cu C S O
4 2 2 2 14
Cartesian
1.1521 0.0258 2.2861
1.1521 3.5657 2.2861
3.5816 3.6174 6.2545
3.5816 7.1573 6.2545
0.8394 1.7958 7.3532
3.8942 5.3874 1.1874
1.2010 1.7958 4.9760
3.5327 5.3874 3.5646
1.1787 5.3874 7.7428
3.5549 1.7958 0.7978
0.0181 1.7958 5.5321
0.7830 5.3874 0.5530
0.8224 4.1719 6.9995
0.8224 6.6029 6.9995
1.3985 1.7958 3.7403
2.0536 1.7958 0.5481
2.1641 1.7958 5.8694
2.5695 5.3874 2.6711
2.6801 5.3874 7.9925
3.3352 5.3874 4.8003
3.9112 0.5803 1.5410
3.9112 3.0113 1.5410
3.9506 1.7958 7.9875
4.7155 5.3874 3.0085
```

## Properties
The calculation puts the total magnetic moment at 1.0 μB/f.u. The value obtained for the formation energy from raw total energies is -1.653 eV/atom. As for the crystal system: monoclinic. For the volume, the calculation gives 306.6 Å³ per cell.

---

(2)
DFT (meta-GGA SCAN) results for a PBEsol-optimized structure of Na4Cu2C4SO16.

Structure (POSCAR):
```
Na4Cu2C4SO16
1.0
0.0000 6.8126 6.9530
6.7940 0.0000 6.9530
6.7940 6.8126 0.0000
Na Cu C S O
8 4 8 2 32
Cartesian
5.0955 1.1672 5.2147
9.0276 5.1094 5.2147
8.4925 4.5735 8.6912
12.4246 8.5157 8.6912
1.1635 5.1094 5.2147
5.0955 9.0517 5.2147
4.5605 8.5157 8.6912
8.4925 12.4580 8.6912
6.7940 3.4063 3.4765
3.3970 6.8126 3.4765
3.3970 3.4063 6.9530
6.7940 6.8126 6.9530
6.3021 3.9009 6.4276
3.8889 3.9009 4.0019
6.3021 6.3180 4.0019
9.6992 7.3072 7.4784
3.8889 6.3180 6.4276
7.2859 7.3072 9.9040
9.6992 9.7242 9.9040
7.2859 9.7242 7.4784
1.6985 1.7031 1.7382
11.8895 11.9220 12.1677
2.5659 0.8324 2.5801
0.8312 0.8324 0.8964
2.5659 2.5739 0.8964
4.8321 3.0298 3.8147
6.4819 5.3783 3.1366
7.0979 3.7878 5.4255
5.3589 3.0298 6.6148
3.7091 4.8406 3.1366
7.0979 6.4311 5.0040
0.8312 2.5739 2.5801
8.7559 6.4361 7.2912
9.8789 8.2469 6.6131
10.4949 7.1941 8.4805
6.4819 4.8406 7.2929
5.3589 7.1891 3.8147
3.0932 3.7878 5.0040
10.4949 9.8374 8.9020
8.2291 6.4361 10.0913
7.1061 8.7846 6.6131
3.0932 6.4311 5.4255
3.7091 5.3783 7.2929
4.8321 7.1891 6.6148
12.7569 11.0513 11.3258
6.4902 7.1941 8.9020
9.8789 8.7846 10.7693
8.2291 10.5954 7.2912
6.4902 9.8374 8.4805
7.1061 8.2469 10.7693
8.7559 10.5954 10.0913
11.0222 11.0513 13.0096
12.7569 12.7928 13.0096
11.0222 12.7928 11.3258
```

## Properties
The calculation puts the total magnetic moment at 4.1 μB/f.u. The value obtained for the formation energy from raw total energies is -1.493 eV/atom. As for the crystal system: orthorhombic. For the volume, the calculation gives 643.6 Å³ per cell.

---

(3)
DFT (meta-GGA SCAN) results for a PBEsol-optimized structure of Na6Cu2C4SO16.

Structure (POSCAR):
```
Na6Cu2C4SO16
1.0
0.0000 6.9096 6.9096
6.9096 0.0000 6.9096
6.9096 6.9096 0.0000
Na Cu C S O
12 4 8 2 32
Cartesian
5.1822 5.1822 1.2724
5.1822 1.2724 5.1822
9.0920 5.1822 5.1822
8.6370 8.6370 4.7272
8.6370 4.7272 8.6370
12.5468 8.6370 8.6370
1.2724 5.1822 5.1822
5.1822 9.0920 5.1822
5.1822 5.1822 9.0920
4.7272 8.6370 8.6370
8.6370 12.5468 8.6370
8.6370 8.6370 12.5468
6.9096 3.4548 3.4548
3.4548 6.9096 3.4548
3.4548 3.4548 6.9096
6.9096 6.9096 6.9096
3.8994 3.8994 3.8994
6.4651 6.4651 3.8994
6.4651 3.8994 6.4651
9.9199 7.3542 7.3542
3.8994 6.4651 6.4651
7.3542 9.9199 7.3542
7.3542 7.3542 9.9199
9.9199 9.9199 9.9199
1.7274 1.7274 1.7274
12.0918 12.0918 12.0918
0.8661 0.8661 0.8661
2.5887 2.5887 0.8661
2.5887 0.8661 2.5887
6.6399 5.4931 3.0613
4.8713 3.0613 3.7245
7.3031 3.7245 5.4931
3.7245 4.8713 3.0613
7.3031 6.6399 4.8713
5.4931 3.0613 6.6399
0.8661 2.5887 2.5887
10.0947 8.3261 6.5161
8.9479 6.5161 7.1793
10.7579 7.1793 8.3261
5.4931 7.3031 3.7245
3.0613 3.7245 4.8713
6.6399 4.8713 7.3031
7.1793 8.9479 6.5161
10.7579 10.0947 8.9479
8.3261 6.5161 10.0947
3.0613 6.6399 5.4931
4.8713 7.3031 6.6399
3.7245 5.4931 7.3031
12.9532 11.2305 11.2305
8.3261 10.7579 7.1793
6.5161 7.1793 8.9479
10.0947 8.9479 10.7579
6.5161 10.0947 8.3261
8.9479 10.7579 10.0947
7.1793 8.3261 10.7579
11.2305 12.9532 11.2305
11.2305 11.2305 12.9532
12.9532 12.9532 12.9532
```

## Properties
The calculation puts the total magnetic moment at 2.0 μB/f.u. The value obtained for the formation energy from raw total energies is -1.667 eV/atom. As for the crystal system: cubic. For the volume, the calculation gives 659.8 Å³ per cell.

---

(4)
DFT (meta-GGA SCAN) results for a PBEsol-optimized structure of Na3CuCSO7.

Structure (POSCAR):
```
Na3CuCSO7
1.0
5.2297 0.0000 0.0000
0.0000 7.1978 0.0000
-0.4289 0.0000 8.7874
Na Cu C S O
6 2 2 2 14
Cartesian
0.9131 1.7995 0.6630
1.3368 3.6031 6.3857
1.3368 7.1936 6.3857
3.4640 0.0042 2.4017
3.4640 3.5947 2.4017
3.8877 5.3984 8.1243
0.6682 5.3984 3.0394
4.1326 1.7995 5.7480
1.6325 5.3984 0.4356
3.1683 1.7995 8.3518
0.8332 1.7995 3.5697
3.9676 5.3984 5.2177
0.2336 5.3984 4.9075
0.5416 5.3984 1.1609
1.1343 0.5958 2.7512
1.1343 3.0032 2.7512
1.0681 5.3984 7.9315
1.5870 1.7995 4.8395
2.0107 1.7995 7.7946
2.7901 5.3984 0.9928
3.2138 5.3984 3.9478
3.7327 1.7995 0.8559
3.6665 4.1947 6.0362
3.6665 6.6021 6.0362
4.2592 1.7995 7.6265
4.5672 1.7995 3.8798
```

## Properties
The calculation puts the total magnetic moment at 0.0 μB/f.u. The value obtained for the formation energy from raw total energies is -1.684 eV/atom. As for the crystal system: monoclinic. For the volume, the calculation gives 330.8 Å³ per cell.

---

(5)
DFT (meta-GGA SCAN) results for a PBEsol-optimized structure of NaCu2CSe.

Structure (POSCAR):
```
NaCu2CSe
1.0
4.5894 0.0000 0.0000
0.0000 4.5894 0.0000
0.0000 0.0000 4.0740
Na Cu C Se
1 2 1 1
Cartesian
0.0000 0.0000 0.0000
0.0000 2.2947 2.0370
2.2947 0.0000 2.0370
2.2947 2.2947 0.0000
2.2947 2.2947 2.0370
```

## Properties
The calculation puts the total magnetic moment at 0.0 μB/f.u. The value obtained for the formation energy from raw total energies is 1.275 eV/atom. As for the crystal system: tetragonal. For the volume, the calculation gives 85.8 Å³ per cell.

---

(6)
DFT (meta-GGA SCAN) results for a PBEsol-optimized structure of NaTiCuC2.

Structure (POSCAR):
```
NaTiCuC2
1.0
4.0737 0.0000 0.0000
0.0000 4.0737 0.0000
0.0000 0.0000 4.1528
Na Ti Cu C
1 1 1 2
Cartesian
0.0000 0.0000 0.0000
0.0000 0.0000 2.0764
2.0368 2.0368 2.0764
0.0000 2.0368 0.0000
2.0368 0.0000 0.0000
```

## Properties
The calculation puts the total magnetic moment at 0.0 μB/f.u. The energy of formation comes out at 3.03 eV per atom. As for the crystal system: tetragonal. For the volume, the calculation gives 68.9 Å³ per cell.

---

(7)
DFT (meta-GGA SCAN) results for a PBEsol-optimized structure of NbCuC3.

Structure (POSCAR):
```
NbCuC3
1.0
4.1379 0.0000 0.0000
0.0000 4.1379 0.0000
0.0000 0.0000 4.1379
Nb Cu C
1 1 3
Cartesian
0.0000 0.0000 0.0000
2.0689 2.0689 2.0689
0.0000 0.0000 2.0689
0.0000 2.0689 0.0000
2.0689 0.0000 0.0000
```

## Properties
The calculation puts the total magnetic moment at 0.0 μB/f.u. The energy of formation comes out at 2.28 eV per atom. As for the crystal system: cubic. For the volume, the calculation gives 70.8 Å³ per cell.

---

(8)
DFT (meta-GGA SCAN) results for a PBEsol-optimized structure of NdCuPbC3O11.

Structure (POSCAR):
```
NdCuPbC3O11
1.0
6.4334 0.0000 0.0000
0.0000 19.1644 0.0000
0.0000 0.0000 7.4637
Nd Cu Pb C O
4 4 4 12 44
Cartesian
0.3540 3.6796 0.0000
2.8627 13.2618 3.7318
3.5707 5.9026 0.0000
6.0795 15.4848 3.7318
1.5321 10.8154 1.5401
1.6846 1.2332 5.2719
4.7488 17.9312 1.5401
4.9013 8.3490 5.2719
0.9460 16.4155 7.4491
2.2708 6.8333 3.7173
4.1627 12.3312 7.4491
5.4875 2.7490 3.7173
0.0497 18.3616 4.2898
0.3447 6.4987 6.2522
1.4677 13.7795 6.2112
1.7491 4.1973 2.4794
2.8721 16.0809 2.5203
3.1670 8.7794 0.5579
3.2664 10.3850 4.2898
3.5614 3.0835 6.2522
4.6844 14.9671 6.2112
4.9658 5.3849 2.4794
6.0888 12.6658 2.5203
6.3838 0.8028 0.5579
0.1418 7.5569 5.5289
0.1627 0.4789 4.5504
0.4863 13.1505 3.3513
0.7581 9.2566 1.6940
0.7829 2.7785 5.2743
0.8184 14.0099 7.2832
0.9911 17.5234 4.5496
1.0355 1.2073 0.0476
1.0717 3.1078 2.2753
1.4822 5.8984 6.0892
1.5001 14.6762 5.2462
1.7167 5.0940 1.5144
1.7345 15.4806 2.3573
2.1450 12.6900 6.0071
2.1812 10.7895 3.7794
2.2256 7.9412 0.8177
2.3984 4.4277 3.5514
2.4338 12.3608 1.5425
2.4586 18.8388 5.4258
2.7304 3.5683 7.0831
3.0540 10.0611 0.8185
3.0750 17.1391 1.7970
3.3585 2.0253 5.5289
3.3795 9.1033 4.5504
3.7031 15.5962 3.3513
3.9749 0.3256 1.6940
3.9996 6.8037 5.2743
4.0351 14.7367 7.2832
4.2078 11.2233 4.5496
4.2523 8.3749 0.0476
4.2885 6.4744 2.2753
4.6989 3.6838 6.0892
4.7168 14.0704 5.2462
4.9334 4.4882 1.5144
4.9512 13.2660 2.3573
5.3617 16.0566 6.0071
5.3979 17.9571 3.7794
5.4423 1.6411 0.8177
5.6151 5.1545 3.5514
5.6506 16.3859 1.5425
5.6753 9.9079 5.4258
5.9471 6.0140 7.0831
6.2707 18.6855 0.8185
6.2917 11.6075 1.7970
```

## Properties
The calculation puts the total magnetic moment at 2.0 μB/f.u. The value obtained for the formation energy from raw total energies is -1.489 eV/atom. As for the crystal system: orthorhombic. For the volume, the calculation gives 920.2 Å³ per cell.

---

(9)
DFT (meta-GGA SCAN) results for a PBEsol-optimized structure of CuNiC3.

Structure (POSCAR):
```
CuNiC3
1.0
3.7131 0.0000 0.0000
0.0000 3.7131 0.0000
0.0000 0.0000 3.7131
Cu Ni C
1 1 3
Cartesian
0.0000 0.0000 0.0000
1.8565 1.8565 1.8565
0.0000 0.0000 1.8565
0.0000 1.8565 0.0000
1.8565 0.0000 0.0000
```

## Properties
The calculation puts the total magnetic moment at 0.0 μB/f.u. The energy of formation comes out at 2.88 eV per atom. As for the crystal system: cubic. For the volume, the calculation gives 51.2 Å³ per cell.

---

(10)
DFT (meta-GGA SCAN) results for a PBEsol-optimized structure of Cu3C2O8.

Structure (POSCAR):
```
Cu3C2O8
1.0
4.9806 0.0000 0.0000
0.0000 5.5837 0.0000
-0.9009 0.0000 10.3618
Cu C O
6 4 16
Cartesian
0.0000 0.0000 0.0000
-0.4504 2.7918 5.1809
0.6850 0.0168 6.0343
1.1355 2.7751 0.8534
2.9442 2.8086 9.5084
3.3947 5.5669 4.3275
1.3427 3.8379 3.3180
0.8923 4.5376 8.4989
3.1875 1.0461 1.8629
2.7370 1.7458 7.0438
-0.1344 1.0289 4.7368
-0.5849 1.7629 9.9177
0.2260 3.2123 3.4839
-0.2244 5.1632 8.6648
1.8522 3.9262 2.1428
1.4017 4.4493 7.3237
1.4956 4.0119 9.5144
1.9461 4.3636 4.3335
2.1336 1.2201 6.0283
2.5841 1.5718 0.8474
2.6780 1.1344 3.0381
2.2275 1.6574 8.2190
4.3041 0.4204 1.6970
3.8537 2.3714 6.8779
4.6646 3.8208 0.4441
4.2141 4.5547 5.6250
```

## Properties
The calculation puts the total magnetic moment at 0.0 μB/f.u. The value obtained for the formation energy from raw total energies is -1.014 eV/atom. As for the crystal system: monoclinic. For the volume, the calculation gives 288.2 Å³ per cell.

---

(11)
DFT (meta-GGA SCAN) results for a PBEsol-optimized structure of Sr8Y4Cu11CO28.

Structure (POSCAR):
```
Sr8Y4Cu11CO28
1.0
3.8196 0.0000 0.0000
0.0000 11.1082 7.5266
0.0000 -11.1082 7.5266
Sr Y Cu C O
8 4 11 1 28
Cartesian
0.0000 -9.1807 7.5266
0.0000 -2.0498 4.5743
0.0000 2.0498 4.5743
0.0000 -2.0570 8.0649
0.0000 2.0570 8.0649
0.0000 -2.0574 11.5555
0.0000 2.0574 11.5555
0.0000 9.1807 7.5266
0.0000 -5.4591 4.1944
0.0000 -5.7332 7.9814
0.0000 5.4591 4.1944
0.0000 5.7332 7.9814
1.9098 -7.1895 6.0189
1.9098 -3.9857 6.1565
1.9098 -7.3366 9.8580
1.9098 0.0000 6.2945
1.9098 -4.0419 9.8252
1.9098 3.9857 6.1565
1.9098 0.0000 9.8012
1.9098 7.1895 6.0189
1.9098 4.0419 9.8252
1.9098 0.0000 13.2639
1.9098 7.3366 9.8580
1.9098 0.0000 2.3324
0.0000 -7.0046 6.0340
0.0000 -4.1588 6.1444
0.0000 -7.1615 9.8671
0.0000 0.0000 6.1226
0.0000 -4.2339 9.8269
0.0000 4.1588 6.1444
0.0000 0.0000 9.7647
0.0000 7.0046 6.0340
0.0000 4.2339 9.8269
0.0000 0.0000 13.3521
0.0000 7.1615 9.8671
1.9098 0.0000 1.0215
1.9098 -3.9490 4.2333
1.9098 -1.1256 2.9732
1.9098 -7.3190 7.9532
1.9098 1.1256 2.9732
1.9098 -4.4599 7.9858
1.9098 -1.8574 6.3221
1.9098 3.9490 4.2333
1.9098 1.8574 6.3221
1.9098 -1.8721 9.8109
1.9098 -4.3338 11.6911
1.9098 4.4599 7.9858
1.9098 1.8721 9.8109
1.9098 -1.8436 13.3320
1.9098 7.3190 7.9532
1.9098 1.8436 13.3320
1.9098 4.3338 11.6911
```

## Properties
The calculation puts the total magnetic moment at 0.0 μB/f.u. The value obtained for the formation energy from raw total energies is -2.180 eV/atom. As for the crystal system: orthorhombic. For the volume, the calculation gives 638.7 Å³ per cell.

---

(12)
DFT (meta-GGA SCAN) results for a PBEsol-optimized structure of CuOs3C.

Structure (POSCAR):
```
CuOs3C
1.0
4.3687 0.0000 0.0000
0.0000 4.3687 0.0000
0.0000 0.0000 4.3687
Cu Os C
1 3 1
Cartesian
0.0000 0.0000 0.0000
0.0000 0.0000 2.1844
0.0000 2.1844 0.0000
2.1844 0.0000 0.0000
2.1844 2.1844 2.1844
```

## Properties
The calculation puts the total magnetic moment at 2.3 μB/f.u. The energy of formation comes out at 3.63 eV per atom. As for the crystal system: cubic. For the volume, the calculation gives 83.4 Å³ per cell.

---

What is the total magnetic moment in the fifth record?
0.0 μB/f.u.